# 1
DyNbAsO: relaxed, PBE-GGA.

abc: 3.8324 7.3169 5.7419
angles: 90.00 90.00 90.00
Atoms (fractional coordinates):
Dy 0.0000 0.2261 0.0000
Dy 0.0000 0.7739 0.5000
Nb 0.5000 0.4054 0.5176
Nb 0.5000 0.5946 0.0176
As 0.0000 0.1659 0.4880
As 0.0000 0.8341 0.9880
O 0.5000 0.3279 0.8732
O 0.5000 0.6721 0.3732

Polymorph energy (0 for the lowest one): 516 meV/atom
Total magnetic moment: 0.0 μB per formula unit
Symmetry: Pmc2_1, No. 26


# 2
DyNbAsO: relaxed, PBE-GGA.

abc: 4.1443 4.1443 7.8747
angles: 90.00 90.00 90.00
Atoms (fractional coordinates):
Dy 0.2500 0.7500 0.0000
Dy 0.7500 0.2500 0.0000
Nb 0.2500 0.2500 0.3932
Nb 0.7500 0.7500 0.6068
As 0.2500 0.2500 0.7464
As 0.7500 0.7500 0.2536
O 0.2500 0.7500 0.5000
O 0.7500 0.2500 0.5000

Polymorph energy (0 for the lowest one): 1132 meV/atom
Total magnetic moment: 0.1 μB per formula unit
Symmetry: P4/nmm, No. 129


# 3
DyNbAsO: relaxed, PBE-GGA.

abc: 4.1772 4.9694 6.6708
angles: 90.00 90.00 90.00
Atoms (fractional coordinates):
Dy 0.0000 0.1882 0.0000
Dy 0.0000 0.8118 0.5000
Nb 0.5000 0.3706 0.3425
Nb 0.5000 0.6294 0.8425
As 0.5000 0.1361 0.6941
As 0.5000 0.8639 0.1941
O 0.0000 0.3792 0.3350
O 0.0000 0.6208 0.8350

Polymorph energy (0 for the lowest one): 261 meV/atom
Total magnetic moment: 0.0 μB per formula unit
Symmetry: Pmc2_1, No. 26


# 4
DyNb2Si2As: relaxed, PBE-GGA.

abc: 3.9495 3.9495 7.8169
angles: 90.00 90.00 90.00
Atoms (fractional coordinates):
Dy 0.0000 0.0000 0.0000
Nb 0.0000 0.5000 0.6393
Nb 0.5000 0.0000 0.6393
Si 0.0000 0.0000 0.3837
Si 0.5000 0.5000 0.8771
As 0.5000 0.5000 0.3683

Total DFT energy (no corrections): -7.05 eV/atom
Total magnetic moment: 0.0 μB per formula unit
Symmetry: P4mm, No. 99